Entry 1:
BaCd2SnRu: relaxed, PBE-GGA.

The value obtained for the formation energy is -199 meV/atom. The calculation puts the energy at -3.605 eV per atom.

The space group is P4/mmm (No. 123) and the conventional cell measures 5.3156, 5.3156 and 5.0897 Å, with angles of 90.00, 90.00 and 90.00 degrees. The inequivalent atoms are Ba at (0.0000, 0.0000, 0.0000), Cd at (0.0000, 0.5000, 0.5000), Sn at (0.5000, 0.5000, 0.0000) and Ru at (0.5000, 0.5000, 0.5000).

=====

Entry 2:
BaCd2TcRu: relaxed, PBE-GGA.

The value obtained for the formation energy is 2412 meV/atom. The calculation puts the energy at -2.267 eV per atom.

The space group is P4/mmm (No. 123) and the conventional cell measures 5.9073, 5.9073 and 5.0460 Å, with angles of 90.00, 90.00 and 90.00 degrees. The inequivalent atoms are Ba at (0.0000, 0.0000, 0.0000), Cd at (0.0000, 0.5000, 0.0000), Tc at (0.0000, 0.0000, 0.5000) and Ru at (0.5000, 0.5000, 0.5000).

=====

Entry 3:
BaTl2CdRu: relaxed, PBE-GGA.

The value obtained for the formation energy is -70 meV/atom. The calculation puts the energy at -3.439 eV per atom.

The space group is P4/mmm (No. 123) and the conventional cell measures 5.3015, 5.3015 and 5.3384 Å, with angles of 90.00, 90.00 and 90.00 degrees. The inequivalent atoms are Ba at (0.0000, 0.0000, 0.0000), Tl at (0.0000, 0.5000, 0.5000), Cd at (0.5000, 0.5000, 0.0000) and Ru at (0.5000, 0.5000, 0.5000).

=====

Entry 4:
BaTlCd2Ru: relaxed, PBE-GGA.

The value obtained for the formation energy is -53 meV/atom. The calculation puts the energy at -3.132 eV per atom.

The space group is P4/mmm (No. 123) and the conventional cell measures 5.3038, 5.3038 and 5.2711 Å, with angles of 90.00, 90.00 and 90.00 degrees. The inequivalent atoms are Ba at (0.0000, 0.0000, 0.0000), Tl at (0.5000, 0.5000, 0.0000), Cd at (0.0000, 0.5000, 0.5000) and Ru at (0.5000, 0.5000, 0.5000).

=====

Entry 5:
BaZnCd2Ru: relaxed, PBE-GGA.

The value obtained for the formation energy is -37 meV/atom. The calculation puts the energy at -2.897 eV per atom.

The space group is P4/mmm (No. 123) and the conventional cell measures 5.2647, 5.2647 and 4.9437 Å, with angles of 90.00, 90.00 and 90.00 degrees. The inequivalent atoms are Ba at (0.0000, 0.0000, 0.0000), Zn at (0.5000, 0.5000, 0.0000), Cd at (0.0000, 0.5000, 0.5000) and Ru at (0.5000, 0.5000, 0.5000).

=====

Entry 6:
Ba2ZnCdRu: relaxed, PBE-GGA.

The value obtained for the formation energy is 669 meV/atom. The calculation puts the energy at -2.393 eV per atom.

The space group is P4/mmm (No. 123) and the conventional cell measures 6.3780, 6.3780 and 5.0072 Å, with angles of 90.00, 90.00 and 90.00 degrees. The inequivalent atoms are Ba at (0.0000, 0.5000, 0.0000), Zn at (0.0000, 0.0000, 0.5000), Cd at (0.5000, 0.5000, 0.0000) and Ru at (0.5000, 0.5000, 0.5000).

=====

Entry 7:
BaZn2CdRu: relaxed, PBE-GGA.

The value obtained for the formation energy is -79 meV/atom. The calculation puts the energy at -3.012 eV per atom.

The space group is P4/mmm (No. 123) and the conventional cell measures 4.9462, 4.9462 and 5.2366 Å, with angles of 90.00, 90.00 and 90.00 degrees. The inequivalent atoms are Ba at (0.0000, 0.0000, 0.0000), Zn at (0.0000, 0.5000, 0.5000), Cd at (0.5000, 0.5000, 0.0000) and Ru at (0.5000, 0.5000, 0.5000).

=====

Entry 8:
Ba3CdS: relaxed, PBE-GGA.

The energy above the most stable polymorph in this dataset is 0 meV per atom. Its uncorrected formation energy is -3.93 eV per formula unit. The calculation puts the energy at -2.949 eV per atom.

The space group is Pm-3m (No. 221) and the conventional cell measures 6.1288, 6.1288 and 6.1288 Å, with angles of 90.00, 90.00 and 90.00 degrees. The inequivalent atoms are Ba at (0.0000, 0.0000, 0.5000), Cd at (0.5000, 0.5000, 0.5000) and S at (0.0000, 0.0000, 0.0000).

=====

Entry 9:
Ba2CdS: relaxed, PBE-GGA.

The energy above the most stable polymorph in this dataset is 0 meV per atom. Its uncorrected formation energy is -3.93 eV per formula unit. The calculation puts the energy at -3.204 eV per atom.

The space group is P4/mmm (No. 123) and the conventional cell measures 4.0234, 4.0234 and 8.2629 Å, with angles of 90.00, 90.00 and 90.00 degrees. The inequivalent atoms are Ba at (0.0000, 0.0000, 0.2224), Cd at (0.5000, 0.5000, 0.5000) and S at (0.5000, 0.5000, 0.0000).

=====

Entry 10:
Ba2CdS2: relaxed, PBE-GGA.

Its uncorrected formation energy is -7.01 eV per formula unit. The calculation puts the energy at -4.006 eV per atom.

The space group is P4/mbm (No. 127) and the conventional cell measures 8.6764, 8.6764 and 4.0579 Å, with angles of 90.00, 90.00 and 90.00 degrees. The inequivalent atoms are Ba at (0.1533, 0.3467, 0.0000), Cd at (0.0000, 0.0000, 0.5000) and S at (0.1502, 0.6502, 0.5000).

=====

Entry 11:
BaCd3S: relaxed, PBE-GGA.

The energy above the most stable polymorph in this dataset is 767 meV per atom. Its uncorrected formation energy is 3.88 eV per formula unit. The calculation puts the energy at -0.983 eV per atom.

The space group is Pm-3m (No. 221) and the conventional cell measures 6.6012, 6.6012 and 6.6012 Å, with angles of 90.00, 90.00 and 90.00 degrees. The inequivalent atoms are Ba at (0.0000, 0.0000, 0.0000), Cd at (0.0000, 0.0000, 0.5000) and S at (0.5000, 0.5000, 0.5000).

=====

Entry 12:
Ba2CdS: relaxed, PBE-GGA.

The energy above the most stable polymorph in this dataset is 173 meV per atom. Its uncorrected formation energy is -3.24 eV per formula unit. The calculation puts the energy at -3.031 eV per atom.

The space group is R-3m (No. 166, hexagonal axes) and the conventional cell measures 4.3534, 4.3534 and 32.8318 Å, with angles of 90.00, 90.00 and 120.00 degrees. The inequivalent atoms are Ba at (0.0000, 0.0000, 0.1107), Cd at (0.0000, 0.0000, 0.0000) and S at (0.0000, 0.0000, 0.5000).

=====

What did the second record say?
BaCd2TcRu: relaxed, PBE-GGA.

The value obtained for the formation energy is 2412 meV/atom. The calculation puts the energy at -2.267 eV per atom.

The space group is P4/mmm (No. 123) and the conventional cell measures 5.9073, 5.9073 and 5.0460 Å, with angles of 90.00, 90.00 and 90.00 degrees. The inequivalent atoms are Ba at (0.0000, 0.0000, 0.0000), Cd at (0.0000, 0.5000, 0.0000), Tc at (0.0000, 0.0000, 0.5000) and Ru at (0.5000, 0.5000, 0.5000).

=====

- energy of number 6 (Ba2ZnCdRu)?
  -2.393 eV per atom